# 1
Below is crystalline KNd2NpS5 at its relaxed geometry, with properties calculated at the PBE level.

Lattice parameters (Å, degrees): 5.024 7.191 8.298 115.68 107.62 90.00
Site moments in Bohr magnetons follow the coordinates.
Fractional coordinates of all 9 atoms:
K 0.000 0.500 0.000  0.00
Nd 0.206 0.206 0.412  0.07
Nd 0.794 0.794 0.588  0.07
Np 0.500 0.000 0.000  3.64
S 0.652 0.917 0.304  -0.03
S 0.348 0.083 0.696  -0.03
S 0.348 0.613 0.696  -0.03
S 0.652 0.387 0.304  -0.03
S 0.000 0.000 0.000  -0.08

## Properties
Space group: Immm, No. 71
Raw formation energy: -1.649 eV per atom
Crystal system: orthorhombic
V: 28.3 A^3/atom
M_tot: 4.0 μB per formula unit

# 2
Below is crystalline MnAlTc2H at its relaxed geometry, with properties calculated at the PBE level.

Lattice parameters (Å, degrees): 4.130 4.130 3.400 90.00 90.00 90.00
Site moments in Bohr magnetons follow the coordinates.
Fractional coordinates of all 5 atoms:
H 0.000 0.000 0.000  -0.01
Mn 0.000 0.000 0.500  2.61
Tc 0.000 0.500 0.000  -0.06
Tc 0.500 0.000 0.000  -0.06
Al 0.500 0.500 0.500  -0.01

## Properties
Total DFT energy (no corrections): -37.35 eV per cell
Space group: P4/mmm, No. 123
Crystal system: tetragonal
V: 11.6 A^3/atom
M_tot: 2.5 μB per formula unit

# 3
Below is crystalline HgGe3O at its relaxed geometry, with properties calculated at the PBE level.

Lattice parameters (Å, degrees): 4.537 4.537 4.537 90.00 90.00 90.00
Fractional coordinates of all 5 atoms:
Ge 0.000 0.500 0.000
Ge 0.000 0.000 0.500
Ge 0.500 0.000 0.000
Hg 0.500 0.500 0.500
O 0.000 0.000 0.000

## Properties
Offset from the most stable computed form: 0.00 kcal/mol of atoms
Space group: Pm-3m, No. 221
Raw formation energy: 0.021 eV per atom
Crystal system: cubic
V: 18.7 A^3/atom
M_tot: 0.0 μB per formula unit

# 4
Below is crystalline AgAs2Pt at its relaxed geometry, with properties calculated at the PBE level.

Lattice parameters (Å, degrees): 6.829 6.829 6.829 32.02 32.02 32.02
Fractional coordinates of all 4 atoms:
As 0.985 0.985 0.985
As 0.515 0.515 0.515
Ag 0.750 0.750 0.750
Pt 0.250 0.250 0.250

## Properties
Offset from the most stable computed form: 0.00 kcal/mol of atoms
Space group: R-3m, No. 166
Crystal system: trigonal
V: 19.9 A^3/atom
M_tot: 0.0 μB per formula unit
Energy of formation: -58.0 meV/atom

# 5
Below is crystalline NaZrS3 at its relaxed geometry, with properties calculated at the PBE level.

Lattice parameters (Å, degrees): 5.019 5.019 5.019 90.00 90.00 90.00
Fractional coordinates of all 5 atoms:
Na 0.500 0.500 0.500
S 0.000 0.500 0.000
S 0.000 0.000 0.500
S 0.500 0.000 0.000
Zr 0.000 0.000 0.000

## Properties
Offset from the most stable computed form: 0.00 kcal/mol of atoms
Space group: Pm-3m, No. 221
Raw formation energy: -1.019 eV per atom
Crystal system: cubic
V: 25.3 A^3/atom
M_tot: 0.0 μB per formula unit

# 6
Below is crystalline Ta6GeRu5 at its relaxed geometry, with properties calculated at the PBE level.

Lattice parameters (Å, degrees): 4.525 6.098 8.006 112.39 106.42 90.00
Fractional coordinates of all 12 atoms:
Ru 0.686 0.186 0.373
Ru 0.334 0.334 0.668
Ru 0.000 0.500 0.000
Ru 0.666 0.666 0.332
Ru 0.314 0.814 0.627
Ge 0.000 0.000 0.000
Ta 0.836 0.591 0.673
Ta 0.836 0.082 0.673
Ta 0.500 0.763 0.000
Ta 0.500 0.237 0.000
Ta 0.164 0.918 0.327
Ta 0.164 0.409 0.327

## Properties
Space group: Immm, No. 71
Crystal system: orthorhombic
V: 16.2 A^3/atom
M_tot: 0.0 μB per formula unit
Energy of formation: -237.8 meV/atom

Question: Which value of V does entry 3 give?
Answer: 18.7 A^3/atom

Question: Which of these has the lowest V?
Answer: MnAlTc2H

Question: M_tot of number 5 (NaZrS3)?
Answer: 0.0 μB per formula unit

Question: Look up the V of the second one.
Answer: 11.6 A^3/atom